## BaTiAlCo2 (GGA-PBE)

Data for a relaxed BaTiAlCo2 crystal.

a b c (Å): 4.582 4.582 5.171
angles (deg): 90.00 90.00 90.00
Space group P4/mmm (No. 123)
Inequivalent atoms, fractional coordinates:
Ba (0.000, 0.000, 0.000) x1
Ti (0.500, 0.500, 0.500) x1
Al (0.500, 0.500, 0.000) x1
Co (0.000, 0.500, 0.500) x2

Calculated values
- N(E_F) (states/eV/f.u.) = 6.48
- energy of formation (meV/atom) = 604
- uncorrected energy (eV/atom) = -4.95
- calculated volume (Å³ per cell) = 108.6
- ρ (Mg/m³) = 5.0